VASP calculation (PBE with a Hubbard U) on NiSO2 after structural relaxation.

Mass density ... 3.16 g/cm³
Density of states at the Fermi level ... 0.000 states/eV per atom
E_tot ... -4.568 eV per atom

a = 3.7205 Å, b = 5.1318 Å, c = 7.0406 Å
α = 88.86°, β = 77.78°, γ = 78.97°
With the nearest neighbours (Å) after each atom.
Space group P1 (No. 1)
Inequivalent atoms, fractional coordinates:
Ni 0.0000 0.0000 0.0000  2 O 1.97-1.98
Ni 0.2640 0.6468 0.6640  2 O 1.87-2.08
S 0.6090 0.8914 0.8030  4 Ni 2.32-2.52
S 0.7501 0.5374 0.2376  2 O 1.52
O 0.0595 0.3287 0.1218  1 S 1.52
O 0.1096 0.3963 0.5255  1 O 1.43
O 0.7447 0.4391 0.4817  1 O 1.43
O 0.9103 0.7877 0.2364  1 S 1.52